CeSmLu2, optimized geometry, DFT PBE; energy above the most stable polymorph in this dataset = 6.1 kJ per mole of atoms; calculated total energy = -4.800 eV per atom
1.0
0.000 3.964 3.964
3.964 0.000 3.964
3.964 3.964 0.000
Ce Sm Lu
1 1 2
direct
0.000 0.000 0.000
0.500 0.500 0.500
0.250 0.250 0.250
0.750 0.750 0.750

SrDy2C, optimized geometry, DFT PBE; calculated total energy = -5.087 eV per atom
1.0
1.821 1.051 9.980
-1.821 1.051 9.980
0.000 -2.102 9.980
Sr Dy C
1 2 1
direct
0.000 0.000 0.000
0.122 0.122 0.122
0.878 0.878 0.878
0.500 0.500 0.500

Nb5V2, optimized geometry, DFT PBE; calculated total energy = -9.771 eV per atom
1.0
-1.623 1.623 11.299
1.623 -1.623 11.299
1.623 1.623 -11.299
Nb V
5 2
direct
0.000 0.000 0.000
0.151 0.151 0.000
0.425 0.425 0.000
0.575 0.575 0.000
0.849 0.849 0.000
0.281 0.281 0.000
0.719 0.719 0.000

CrIn, optimized geometry, DFT PBE; calculated total energy = -5.812 eV per atom
1.0
2.962 0.000 0.000
0.000 5.948 3.217
0.000 -5.948 3.217
Cr In
3 3
direct
0.000 0.000 0.000
0.500 0.111 0.303
0.500 0.303 0.111
0.000 0.183 0.700
0.000 0.700 0.183
0.500 0.615 0.615

La3NdHo12, optimized geometry, DFT PBE; calculated total energy = -4.624 eV per atom
1.0
5.062 0.000 0.000
0.000 5.062 0.000
0.000 0.000 20.249
La Nd Ho
3 1 12
direct
0.000 0.000 0.000
0.000 0.000 0.250
0.000 0.000 0.750
0.000 0.000 0.500
0.000 0.500 0.125
0.000 0.500 0.377
0.000 0.500 0.623
0.000 0.500 0.875
0.500 0.000 0.125
0.500 0.000 0.377
0.500 0.000 0.623
0.500 0.000 0.875
0.500 0.500 0.000
0.500 0.500 0.251
0.500 0.500 0.500
0.500 0.500 0.749

Pm4SnTe4, optimized geometry, DFT PBE; calculated total energy = -4.814 eV per atom; formation energy (no corrections) = -7.8 eV per formula unit
1.0
-3.820 3.820 6.520
3.820 -3.820 6.520
3.820 3.820 -6.520
Pm Sn Te
4 1 4
direct
0.096 0.656 0.000
0.344 0.344 0.440
0.656 0.096 0.000
0.904 0.904 0.560
0.000 0.000 0.000
0.000 0.500 0.500
0.294 0.294 0.000
0.500 0.000 0.500
0.706 0.706 0.000

Bi5Pb6, optimized geometry, DFT PBE; energy above the most stable polymorph in this dataset = 0.6 kJ per mole of atoms; calculated total energy = -3.729 eV per atom
1.0
-2.925 3.537 9.070
2.925 -3.537 9.070
2.925 3.537 -9.070
Bi Pb
5 6
direct
0.000 0.000 0.000
0.178 0.678 0.500
0.350 0.350 0.000
0.650 0.650 0.000
0.822 0.322 0.500
0.087 0.838 0.249
0.237 0.500 0.737
0.412 0.162 0.249
0.588 0.838 0.751
0.763 0.500 0.263
0.913 0.162 0.751

Ac4AsIrI2, optimized geometry, DFT PBE; calculated total energy = -5.262 eV per atom; formation energy (no corrections) = -9.0 eV per formula unit
1.0
8.169 0.000 0.000
0.000 4.385 0.000
-2.425 0.000 8.387
Ac As Ir I
4 1 1 2
direct
0.207 0.000 0.185
0.253 0.500 0.805
0.747 0.500 0.195
0.793 0.000 0.815
0.500 0.000 0.000
0.000 0.500 0.000
0.000 0.000 0.500
0.500 0.500 0.500

Number 1: DOS at the Fermi energy 1.86 states/eV/atom. Number 2: DOS at the Fermi energy 0.92 states/eV/atom. Number 3: DOS at the Fermi energy 1.82 states/eV/atom. Number 4: DOS at the Fermi energy 0.73 states/eV/atom. Number 5: DOS at the Fermi energy 1.57 states/eV/atom. Number 6: DOS at the Fermi energy 0.20 states/eV/atom. Number 7: DOS at the Fermi energy 0.49 states/eV/atom. Number 8: DOS at the Fermi energy 0.66 states/eV/atom.